This record from Alexandria via LeMat-Bulk describes a relaxed Cs2Rb2RuO4 crystal. The functional is PBE.

Structure (POSCAR):
```
Cs2Rb2RuO4
1.0
-3.332 3.332 4.560
3.332 -3.332 4.560
3.332 3.332 -4.560
Cs Rb Ru O
2 2 1 4
Direct
0.250 0.750 0.500
0.750 0.250 0.500
0.160 0.160 0.000
0.840 0.840 0.000
0.500 0.500 0.000
0.295 0.295 0.589
0.295 0.705 0.000
0.705 0.295 0.000
0.705 0.705 0.411
```

Density of states at the Fermi level = 0.403 states/eV per atom
SG = I4/mmm, No. 139
Total moment = 2.0 Bohr magnetons per cell
Formation energy without anion corrections = -964 meV/atom



This record from Alexandria via LeMat-Bulk describes a relaxed Cs2Rb3RuO6 crystal. The functional is PBE.

Structure (POSCAR):
```
Cs2Rb3RuO6
1.0
3.461 -6.050 0.000
3.461 6.050 0.000
-2.361 0.000 6.088
Cs Rb Ru O
2 3 1 6
Direct
0.169 0.831 0.000
0.831 0.169 0.000
0.000 0.000 0.500
0.347 0.653 0.500
0.653 0.347 0.500
0.500 0.500 0.000
0.211 0.438 0.811
0.328 0.328 0.180
0.438 0.211 0.811
0.562 0.789 0.189
0.672 0.672 0.820
0.789 0.562 0.189
```

Density of states at the Fermi level = 0.530 states/eV per atom
SG = C2/m, No. 12
Total moment = 1.0 Bohr magnetons per cell
Formation energy without anion corrections = -1155 meV/atom



This record from Alexandria via LeMat-Bulk describes a relaxed CsRbRu2O8 crystal. The functional is PBE.

Structure (POSCAR):
```
CsRbRu2O8
1.0
5.587 -3.187 0.000
5.587 3.187 0.000
-3.429 0.000 7.236
Cs Rb Ru O
1 1 2 8
Direct
0.000 0.000 0.000
0.500 0.500 0.500
0.229 0.229 0.704
0.771 0.771 0.296
0.044 0.596 0.214
0.154 0.154 0.462
0.402 0.402 0.784
0.404 0.956 0.786
0.596 0.044 0.214
0.598 0.598 0.216
0.846 0.846 0.538
0.956 0.404 0.786
```

Density of states at the Fermi level = 0.957 states/eV per atom
SG = C2/m, No. 12
Total moment = 2.0 Bohr magnetons per cell
Formation energy without anion corrections = -1110 meV/atom



This record from Alexandria via LeMat-Bulk describes a relaxed Cs2RbSO4 crystal. The functional is PBE.

Structure (POSCAR):
```
Cs2RbSO4
1.0
-3.705 3.705 4.011
3.705 -3.705 4.011
3.705 3.705 -4.011
Cs Rb S O
2 1 1 4
Direct
0.000 0.000 0.000
0.750 0.250 0.500
0.250 0.750 0.500
0.500 0.500 0.000
0.283 0.516 0.018
0.484 0.502 0.767
0.498 0.265 0.982
0.735 0.717 0.233
```

Density of states at the Fermi level = 0.272 states/eV per atom
SG = I-4, No. 82
Total moment = 0.0 Bohr magnetons per cell
Formation energy without anion corrections = -1451 meV/atom



Question: Which formula does entry 2 have?
Answer: Cs2Rb3RuO6